# Sr3Pd3Au (PBE, optimized geometry)
data_Sr3Pd3Au
_symmetry_space_group_name_H-M 'P 1'
_symmetry_Int_Tables_number 1
_cell_length_a 6.1089
_cell_length_b 6.1089
_cell_length_c 15.5336
_cell_angle_alpha 108.43
_cell_angle_beta 108.43
_cell_angle_gamma 42.62
loop_
_symmetry_equiv_pos_as_xyz
'x,y,z'
loop_
_atom_site_label
_atom_site_fract_x
_atom_site_fract_y
_atom_site_fract_z
Sr1 0.0370 0.0370 0.3889
Sr2 0.1054 0.1054 0.9243
Sr3 0.2438 0.2438 0.2312
Sr4 0.7562 0.7562 0.7688
Sr5 0.8946 0.8946 0.0757
Sr6 0.9630 0.9630 0.6111
Pd1 0.3743 0.3743 0.4577
Pd2 0.3928 0.3928 0.9232
Pd3 0.4713 0.4713 0.7725
Pd4 0.5287 0.5287 0.2275
Pd5 0.6072 0.6072 0.0768
Pd6 0.6257 0.6257 0.5423
Au1 0.2614 0.2614 0.6137
Au2 0.7386 0.7386 0.3863
# Formation energy from the elements = -0.61 eV per atom
# Total energy = -4.023 eV per atom
# Spin magnetization = 0.00 μB per formula unit